Compound: Pm6Pr5Y
Source: Alexandria
Functional: PBE
Structure: optimized geometry

Unit cell a=6.3649 b=6.3623 c=12.1897 alpha=84.99 beta=79.95 gamma=59.99
Fractional coordinates of all 12 atoms:
Pr 0.5000 0.0000 0.5000
Pr 0.1664 0.6671 0.5000
Pr 0.3332 0.3336 0.0000
Pr 0.8336 0.3329 0.5000
Pr 0.6668 0.6664 0.0000
Pm 0.9175 0.6673 0.2489
Pm 0.7497 0.0000 0.7510
Pm 0.2503 0.0000 0.2490
Pm 0.0825 0.3327 0.7511
Pm 0.5848 0.3327 0.2489
Pm 0.4152 0.6673 0.7511
Y 0.0000 0.0000 0.0000

## Properties
Volume = 420.9 Å³/f.u.
Calculated formation energy = 1.2 kJ/mol of atoms
M_tot = 0.0 μB/cell